{"formula": "V2InGeF", "functional": "PBE+U", "state": "relaxed", "vol_a3_per_atom": 21.7, "m_tot_mub_per_fu": 7.3, "sg": "No. 123", "e_tot_ev_per_atom": -4.4612, "lattice": [[5.144, 0.000, 0.000], [0.000, 5.144, 0.000], [0.000, 0.000, 4.106]], "species": ["V", "V", "In", "Ge", "F"], "frac_coords": [[0.000, 0.500, 0.000], [0.500, 0.000, 0.000], [0.000, 0.000, 0.500], [0.500, 0.500, 0.000], [0.500, 0.500, 0.500]]}